[1]
{
  "formula": "LaPmGdSn",
  "functional": "PBE",
  "state": "relaxed",
  "n_ef_per_ev_atom": 1.300,
  "delta_e_f_mev_per_atom": -306,
  "total_magnetization_mub_per_cell": 7.93,
  "sg": "F-43m, No. 216",
  "final_energy_ev_per_atom": -7.247,
  "lattice": [[0.0000, 3.9375, 3.9375], [3.9375, 0.0000, 3.9375], [3.9375, 3.9375, 0.0000]],
  "species": ["La", "Pm", "Gd", "Sn"],
  "frac_coords": [[0.0000, 0.0000, 0.0000], [0.5000, 0.5000, 0.5000], [0.7500, 0.7500, 0.7500], [0.2500, 0.2500, 0.2500]]
}


[2]
{
  "formula": "LiIn",
  "functional": "PBE",
  "state": "relaxed",
  "n_ef_per_ev_atom": 0.451,
  "delta_e_f_mev_per_atom": -219,
  "total_magnetization_mub_per_cell": 0.00,
  "sg": "P4/nmm, No. 129",
  "final_energy_ev_per_atom": -2.545,
  "lattice": [[3.6458, 0.0000, 0.0000], [0.0000, 3.6458, 0.0000], [0.0000, 0.0000, 6.2528]],
  "species": ["Li", "Li", "In", "In"],
  "frac_coords": [[0.2500, 0.2500, 0.1248], [0.7500, 0.7500, 0.8752], [0.2500, 0.2500, 0.6486], [0.7500, 0.7500, 0.3514]]
}


[3]
{
  "formula": "BaBe2Ru",
  "functional": "PBE",
  "state": "relaxed",
  "n_ef_per_ev_atom": 0.902,
  "delta_e_f_mev_per_atom": 962,
  "total_magnetization_mub_per_cell": 0.00,
  "e_above_lowest_polymorph_ev_per_atom": 0.924,
  "sg": "Fm-3m, No. 225",
  "final_energy_ev_per_atom": -3.701,
  "lattice": [[0.0000, 3.3062, 3.3062], [3.3062, 0.0000, 3.3062], [3.3062, 3.3062, 0.0000]],
  "species": ["Ba", "Be", "Be", "Ru"],
  "frac_coords": [[0.0000, 0.0000, 0.0000], [0.2500, 0.2500, 0.2500], [0.7500, 0.7500, 0.7500], [0.5000, 0.5000, 0.5000]]
}